Below is a geometry-optimized ZnIr2Ru structure, with properties calculated at the GGA-PBE level.

extended XYZ file:
```
4
Lattice="8.837 -0.012 -0.007 8.411 2.712 -0.007 8.411 1.316 2.371" Properties=species:S:1:pos:R:3 pbc="T T T"
Ru 6.415 1.004 0.589
Zn 19.244 3.012 1.767
Ir 25.647 4.014 2.356
Ir 12.841 2.010 1.179
```

## Properties
V	57	Å³ per cell
density of states at the Fermi level	7.803	states/eV per cell
magnetic moment	0.001	μB per atom
formation energy	-0.021	eV/atom